No. 1
9
Lattice="7.2392 0.0000 0.0000 -3.6196 6.2694 0.0000 0.0000 0.0000 3.8582" Properties=species:S:1:pos:R:3 comment="Gd3Zn3NiPd2 | OQMD | PBE-GGA | relaxed" mass_density_g_cm3=8.9 formation_energy_ev_per_fu=-5.8 spacegroup=P-62m pbc="T T T"
Zn 5.5451 0.0000 1.9291
Zn 0.8471 1.4672 1.9291
Zn -2.7725 4.8022 1.9291
Gd -1.4565 2.5227 0.0000
Gd 2.9130 0.0000 0.0000
Gd 2.1631 3.7466 0.0000
Pd 3.6196 2.0898 1.9291
Pd 0.0000 4.1796 1.9291
Ni 0.0000 0.0000 0.0000

No. 2
6
Lattice="-2.9856 -3.8715 -1.5851 -4.3211 -1.1218 2.5465 -4.5703 0.9867 -2.1340" Properties=species:S:1:pos:R:3 comment="PrGdNi4 | OQMD | PBE-GGA | relaxed" mass_density_g_cm3=9.2 formation_energy_ev_per_fu=-2.1 relative_energy_mev_per_atom=0 spacegroup=F-43m pbc="T T T"
Ni -8.2286 -2.9446 -2.3059
Ni -10.3992 -3.5081 -1.0266
Ni -8.8995 -1.5633 -0.2304
Ni -8.1034 -4.0038 0.0453
Pr -5.9385 -2.0033 -0.5863
Gd -2.9692 -1.0017 -0.2931

No. 3
3
Lattice="0.0000 3.4246 3.4246 3.4246 0.0000 3.4246 3.4246 3.4246 0.0000" Properties=species:S:1:pos:R:3 comment="PrGdNi | OQMD | PBE-GGA | relaxed" mass_density_g_cm3=7.4 formation_energy_ev_per_fu=-0.2 relative_energy_mev_per_atom=0 spacegroup=F-43m pbc="T T T"
Gd 1.7123 1.7123 1.7123
Pr 5.1368 5.1368 5.1368
Ni 0.0000 0.0000 0.0000

No. 4
12
Lattice="5.4820 0.0000 0.0000 -2.7410 4.7475 0.0000 0.0000 0.0000 7.9764" Properties=species:S:1:pos:R:3 comment="PrGdNi4 | OQMD | PBE-GGA | relaxed" mass_density_g_cm3=8.5 formation_energy_ev_per_fu=0.0 relative_energy_mev_per_atom=354 spacegroup=P6/mmm pbc="T T T"
Ni 2.7410 1.5825 0.0000
Ni 1.3705 2.3738 6.1912
Ni -1.3705 2.3738 1.7853
Ni 0.0000 3.1650 0.0000
Ni 2.7410 0.0000 6.1912
Ni -1.3705 2.3738 6.1912
Ni 2.7410 0.0000 1.7853
Ni 1.3705 2.3738 1.7853
Gd 0.0000 3.1650 3.9882
Gd 2.7410 1.5825 3.9882
Pr 0.0000 0.0000 0.0000
Pr 0.0000 0.0000 3.9882

No. 5
12
Lattice="3.7227 -6.0218 4.9436 6.6514 -5.4272 0.9303 6.9019 -2.1646 4.7158" Properties=species:S:1:pos:R:3 comment="PrGd2Ni9 | OQMD | PBE-GGA | relaxed" mass_density_g_cm3=9.3 formation_energy_ev_per_fu=-4.4 spacegroup=R-3m pbc="T T T"
Ni 10.5331 -8.3932 4.8809
Ni 9.0667 -8.6910 6.8904
Ni 6.6174 -6.8540 3.8134
Ni 8.2092 -4.9226 3.6993
Ni 5.7491 -4.5303 3.5240
Ni 11.5268 -9.0833 7.0657
Ni 10.6585 -6.7596 6.7763
Ni 6.7428 -5.2204 5.7088
Ni 8.6380 -6.8068 5.2949
Pr 0.0000 0.0000 0.0000
Gd 2.4133 -1.9017 1.4793
Gd 14.8627 -11.7120 9.1105

No. 6
11
Lattice="-2.0215 2.0314 11.7837 2.0215 -2.0314 11.7837 2.0215 2.0314 -11.7837" Properties=species:S:1:pos:R:3 comment="Pr2GdSi4Ni4 | OQMD | PBE-GGA | relaxed" energy_ev_per_atom=-6.06 mass_density_g_cm3=6.7 spacegroup=Immm pbc="T T T"
Ni 2.0215 0.0000 2.2973
Ni 0.0000 2.0314 9.4864
Ni 0.0000 0.0000 5.8724
Ni 0.0000 0.0000 17.6950
Si 0.0000 2.0314 7.0857
Si 0.0000 0.0000 10.5989
Si 2.0215 0.0000 4.6980
Si 0.0000 0.0000 12.9685
Pr 2.0215 0.0000 8.2821
Pr 0.0000 2.0314 3.5016
Gd 0.0000 0.0000 0.0000

No. 7
11
Lattice="-2.0209 2.0242 11.5304 2.0209 -2.0242 11.5304 2.0209 2.0242 -11.5304" Properties=species:S:1:pos:R:3 comment="PrGd2Si4Ni4 | OQMD | PBE-GGA | relaxed" energy_ev_per_atom=-6.08 mass_density_g_cm3=7.1 spacegroup=Immm pbc="T T T"
Ni 2.0210 0.0000 2.3165
Ni 0.0000 2.0242 9.2139
Ni 0.0000 0.0000 5.7368
Ni 0.0000 0.0000 17.3240
Si 0.0000 2.0242 6.9301
Si 0.0000 0.0000 10.3032
Si 2.0210 0.0000 4.6003
Si 0.0000 0.0000 12.7575
Pr 0.0000 0.0000 0.0000
Gd 0.0000 2.0242 3.4604
Gd 2.0210 0.0000 8.0700

No. 8
8
Lattice="-0.9956 3.2967 2.9352 -5.6747 -5.8815 4.6809 -1.7639 -6.4436 6.6388" Properties=species:S:1:pos:R:3 comment="PrGdNi2Sn4 | OQMD | PBE-GGA | relaxed" energy_ev_per_atom=-5.14 mass_density_g_cm3=8.1 spacegroup=Amm2 pbc="T T T"
Ni -5.0654 -8.3928 7.7082
Ni -2.8739 -2.2885 5.0834
Sn -3.8657 -3.9319 6.5927
Sn -6.0712 -7.5861 9.9488
Sn -1.8786 -3.1127 2.8588
Sn -4.0599 -6.7268 6.1781
Pr -1.3059 0.3095 2.6973
Gd -6.6253 -10.9774 10.0820

No. 9
8
Lattice="-0.6146 -4.3227 -0.4566 0.7166 1.7068 3.9806 -8.8380 1.1402 1.1021" Properties=species:S:1:pos:R:3 comment="PrGdNi4Sn2 | OQMD | PBE-GGA | relaxed" energy_ev_per_atom=-5.45 mass_density_g_cm3=8.5 spacegroup=P-6m2 pbc="T T T"
Ni -1.2122 -0.1114 2.6867
Ni -2.7841 0.3592 0.3472
Ni -7.0802 0.6456 3.4184
Ni -6.0539 0.7810 0.7549
Sn -2.2994 -2.0383 1.2879
Sn -6.8804 -1.4473 1.8591
Gd 0.0000 0.0000 0.0000
Pr -4.1462 0.2671 3.0526

No. 10
9
Lattice="3.8388 0.0000 0.0000 0.0000 6.6021 3.8210 0.0000 -6.6021 3.8210" Properties=species:S:1:pos:R:3 comment="PrGd2Tl3Ni3 | OQMD | PBE-GGA | relaxed" energy_ev_per_atom=-4.54 mass_density_g_cm3=10.7 spacegroup=Amm2 pbc="T T T"
Pr 0.0000 0.0000 3.1291
Tl 1.9194 4.8693 4.7899
Tl 1.9194 -4.8693 4.7899
Tl 1.9194 0.0000 5.6976
Ni 1.9194 2.2296 3.8254
Ni 1.9194 -2.2296 3.8254
Ni 0.0000 0.0000 7.6383
Gd 0.0000 -2.6950 6.0785
Gd 0.0000 2.6950 6.0785

No. 11
5
Lattice="-1.0784 1.0814 -3.4512 -7.1116 -2.0699 1.5736 -6.8604 1.7424 2.6897" Properties=species:S:1:pos:R:3 comment="PrGdTlNi2 | OQMD | PBE-GGA | relaxed" energy_ev_per_atom=-5.01 mass_density_g_cm3=9.4 spacegroup=Amm2 pbc="T T T"
Tl -13.9247 -0.3263 4.2489
Ni -2.8548 -0.0669 0.8711
Ni -11.1867 -0.2622 3.4134
Pr -9.4425 0.3321 0.9911
Gd -5.5860 0.4224 -0.1857

No. 12
5
Lattice="-2.1486 2.7199 4.1546 2.1486 -2.7199 4.1546 2.1486 2.7199 -4.1546" Properties=species:S:1:pos:R:3 comment="PrGdZnNi2 | OQMD | PBE-GGA | relaxed" mass_density_g_cm3=8.2 formation_energy_ev_per_fu=-1.9 spacegroup=Imm2 pbc="T T T"
Ni 0.0000 1.2600 4.1528
Ni 2.1486 1.4600 -0.0019
Zn 0.0000 0.0000 0.0000
Gd 2.1486 0.0000 2.4741
Pr 0.0000 2.7199 1.6837

No. 13
8
Lattice="-2.7221 -1.0238 4.7643 -0.0548 -4.3716 -0.9707 6.2688 -0.8166 3.3236" Properties=species:S:1:pos:R:3 comment="Gd4NiPt3 | OQMD | PBE-GGA | relaxed" mass_density_g_cm3=11.8 formation_energy_ev_per_fu=-8.4 spacegroup=Pm pbc="T T T"
Gd -0.3452 -1.1460 5.1805
Gd 0.1408 -2.7035 1.8368
Gd 3.8644 -2.8835 2.4368
Gd 3.3823 -1.3225 5.7647
Pt 5.5467 -0.9397 3.9187
Pt 1.6153 -3.2756 4.3297
Pt -2.0301 -3.0879 3.6904
Ni 1.9030 -0.7461 3.2527

No. 14
8
Lattice="-3.9440 -1.9225 -3.2923 2.0469 -3.8011 -0.2325 -3.5974 -2.2847 5.6798" Properties=species:S:1:pos:R:3 comment="Gd4Ni3Pt | OQMD | PBE-GGA | relaxed" mass_density_g_cm3=9.9 formation_energy_ev_per_fu=-5.1 spacegroup=Pm pbc="T T T"
Gd -4.8670 -5.1352 0.9068
Gd -1.6415 -0.9680 1.3742
Gd -2.1181 -3.5259 -1.2016
Gd -4.4139 -2.5895 3.4745
Pt -2.3541 -3.8338 1.7538
Ni -6.9106 -3.8797 2.5864
Ni -4.1627 -2.2726 0.5056
Ni 0.3961 -2.2262 -0.3151

No. 15
9
Lattice="3.9454 0.0000 0.0000 0.0000 6.5271 3.7713 0.0000 -6.5271 3.7713" Properties=species:S:1:pos:R:3 comment="TbGd2NiSn3Pt2 | OQMD | PBE-GGA | relaxed" energy_ev_per_atom=-5.83 mass_density_g_cm3=10.9 spacegroup=Amm2 pbc="T T T"
Pt 1.9727 2.1674 3.7689
Pt 1.9727 -2.1674 3.7689
Gd 0.0000 3.8757 2.2393
Gd 0.0000 -3.8757 2.2393
Sn 1.9727 0.0000 5.6761
Sn 1.9727 -1.6136 0.9348
Sn 1.9727 1.6136 0.9348
Ni 0.0000 0.0000 0.0039
Tb 0.0000 0.0000 3.0607

No. 16
9
Lattice="3.9266 0.0000 0.0000 0.0000 6.4950 3.7670 0.0000 -6.4950 3.7670" Properties=species:S:1:pos:R:3 comment="Gd2TmNiSn3Pt2 | OQMD | PBE-GGA | relaxed" energy_ev_per_atom=-5.81 mass_density_g_cm3=11.1 spacegroup=Amm2 pbc="T T T"
Tm 0.0000 0.0000 3.0496
Pt 1.9633 -2.1263 3.7546
Pt 1.9633 2.1263 3.7546
Sn 1.9633 -1.6067 0.9413
Sn 1.9633 0.0000 5.6673
Sn 1.9633 1.6067 0.9413
Gd 0.0000 -3.8549 2.2357
Gd 0.0000 3.8549 2.2357
Ni 0.0000 0.0000 0.0215

No. 17
9
Lattice="-3.4977 1.8113 -0.1232 -3.2192 -5.9979 3.2134 2.7273 5.5577 4.2823" Properties=species:S:1:pos:R:3 comment="GdY2NiSn3Pt2 | OQMD | PBE-GGA | relaxed" energy_ev_per_atom=-6.24 mass_density_g_cm3=9.8 spacegroup=Amm2 pbc="T T T"
Ni -0.4918 -0.4401 7.4932
Sn -4.2884 -3.7077 4.2131
Sn 0.1770 4.9698 5.0158
Sn -2.1186 0.5748 5.5727
Pt -2.9880 -1.2445 3.5076
Pt -1.0016 2.6156 3.8646
Gd -0.1993 -0.1783 3.0368
Y 1.6250 3.3114 2.5515
Y -1.9181 -3.5737 1.9146

No. 18
9
Lattice="-1.4604 0.0156 -3.6674 4.5685 -5.6941 -1.8435 -6.8716 -1.4211 2.7304" Properties=species:S:1:pos:R:3 comment="Gd2YNiSn3Pt2 | OQMD | PBE-GGA | relaxed" energy_ev_per_atom=-6.03 mass_density_g_cm3=10.4 spacegroup=Amm2 pbc="T T T"
Y -0.9321 -2.8796 0.3589
Gd 2.7145 -3.3833 -1.0954
Gd -4.0829 -0.8444 1.6223
Sn 0.3988 -1.4062 -2.2894
Sn -2.4324 -0.3487 -1.1574
Sn -2.4618 -5.3418 -1.1670
Pt -3.7843 -2.8394 -0.6297
Pt 0.0206 -4.2606 -2.1509
Ni -0.0010 -0.0030 0.0004

No. 19
3
Lattice="-4.0156 -1.2245 -1.5664 -3.7296 1.5118 1.9704 -2.5911 2.9898 -2.1036" Properties=species:S:1:pos:R:3 comment="GdPuNi | OQMD | PBE-GGA | relaxed" mass_density_g_cm3=12.0 formation_energy_ev_per_fu=3.5 relative_energy_mev_per_atom=0 spacegroup=F-43m pbc="T T T"
Ni -7.7523 2.4578 -1.2747
Pu 0.0000 0.0000 0.0000
Gd -2.5841 0.8193 -0.4249

No. 20
12
Lattice="1.6346 7.2432 -1.7144 -2.3146 7.1187 -1.4290 0.6657 2.2639 10.1996" Properties=species:S:1:pos:R:3 comment="RbGdNiS3 | OQMD | PBE-GGA | relaxed" mass_density_g_cm3=4.3 relative_energy_mev_per_atom=0 spacegroup=Cmcm pbc="T T T"
Ni -0.1520 7.2903 1.0782
Ni 0.1376 9.3356 5.9781
S -0.0401 10.1881 3.8912
S 0.1965 10.9926 7.5157
S 0.1311 1.3114 2.3868
S -0.1455 15.3144 4.6695
S -0.2108 5.6333 -0.4594
S 0.0257 6.4378 3.1651
Rb -0.3384 11.2276 0.2164
Rb 0.3240 5.3983 6.8398
Gd 0.0000 0.0000 0.0000
Gd 0.3328 1.1319 5.0998